A plane-wave DFT calculation with PBE with a Hubbard U was carried out for crystalline BaVAsF2 at its relaxed geometry.

Cell and atoms, written as extended XYZ:
```
5
Lattice="-1.8316 -3.4752 2.1599 4.1978 -4.1002 -3.0373 2.9378 0.5302 3.3444" Properties=species:S:1:pos:R:3 pbc="T T T"
V 2.6520 -3.5226 1.2335
Ba 2.0989 -2.0501 -1.5187
F 1.4689 0.2651 1.6722
As 0.0000 0.0000 0.0000
F -0.9158 -1.7376 1.0800
```

Summary:
space-group type = P4/mmm, No. 123
electronic total energy = -3.32 eV/atom
Fermi-level density of states = 8.82 states/eV/f.u.